Pm3HoAg4 | PBE-GGA | relaxed Values from VASP.

Structure (Quantum ESPRESSO input):
```
&SYSTEM
  ibrav = 0, nat = 8, ntyp = 3
/
ATOMIC_SPECIES
Ho 164.93 Ho.upf
Ag 107.87 Ag.upf
Pm 145.00 Pm.upf
ATOMIC_POSITIONS crystal
Ho 0.500 0.500 0.000
Ag 0.000 0.000 0.885
Ag 0.000 0.000 0.115
Ag 0.000 0.000 0.374
Ag 0.000 0.000 0.626
Pm 0.500 0.500 0.246
Pm 0.500 0.500 0.500
Pm 0.500 0.500 0.754
CELL_PARAMETERS angstrom
3.689 0.000 0.000
0.000 3.689 0.000
0.000 0.000 14.920
```

Output
space-group type	No. 123
size of the total moment	0.00	μB per formula unit
E_tot	-4.06	eV per atom
calculated volume	203.0	Å³/cell
energy relative to the elements	-0.29	eV per atom

---

PmHo4Ag2 | PBE-GGA | relaxed Values from VASP.

Structure (Quantum ESPRESSO input):
```
&SYSTEM
  ibrav = 0, nat = 7, ntyp = 3
/
ATOMIC_SPECIES
Pm 145.00 Pm.upf
Ho 164.93 Ho.upf
Ag 107.87 Ag.upf
ATOMIC_POSITIONS crystal
Pm 0.500 0.500 0.500
Ho 0.701 0.701 0.896
Ho 0.897 0.897 0.308
Ho 0.299 0.299 0.104
Ho 0.103 0.103 0.692
Ag 0.602 0.602 0.194
Ag 0.398 0.398 0.806
CELL_PARAMETERS angstrom
-0.173 4.755 -1.319
-3.520 2.942 1.826
4.877 4.977 8.060
```

Output
space-group type	No. 166
size of the total moment	0.77	μB per formula unit
E_tot	-3.94	eV per atom
calculated volume	216.7	Å³/cell
energy relative to the elements	0.17	eV per atom

---

Question: The highest E_tot belongs to which entry?
Answer: PmHo4Ag2